Hf2BiIr | PBE | optimized geometry Values from VASP.

Calculated values
Energy = -8.04 eV per atom

```
&SYSTEM
  ibrav = 0, nat = 4, ntyp = 3
/
ATOMIC_SPECIES
Hf 178.49 Hf.upf
Bi 208.98 Bi.upf
Ir 192.22 Ir.upf
ATOMIC_POSITIONS crystal
Hf 0.750 0.750 0.750
Hf 0.000 0.000 0.000
Bi 0.500 0.500 0.500
Ir 0.250 0.250 0.250
CELL_PARAMETERS angstrom
3.413 0.754 3.414
0.694 4.484 1.813
-1.322 1.009 4.594
```